[1]
Material: Ac2TiCuS6
Method: DFT, PBE-GGA
State: optimized geometry

The structure in CIF format:
```
data_Ac2TiCuS6
_cell_length_a 6.547
_cell_length_b 7.341
_cell_length_c 11.268
_cell_angle_alpha 90.00
_cell_angle_beta 124.98
_cell_angle_gamma 90.00
_space_group_name_H-M_alt 'P 1 21/c 1'
_space_group_IT_number 14
loop_
_space_group_symop_operation_xyz
'x,y,z'
'-x,-y,-z'
'-x,y+1/2,-z+1/2'
'x,-y+1/2,z+1/2'
loop_
_atom_site_label
_atom_site_type_symbol
_atom_site_fract_x
_atom_site_fract_y
_atom_site_fract_z
Ac1 Ac 0.218 0.096 0.250
Ti1 Ti 0.500 0.000 0.000
Cu1 Cu 0.000 0.000 0.500
S1 S 0.155 0.178 0.958
S2 S 0.275 0.700 0.958
S3 S 0.328 0.008 0.743
```

## Properties
- Formation energy from raw total energies: -1476.7 meV per atom



[2]
Material: AcLa5Pr2
Method: DFT, PBE-GGA
State: optimized geometry

The structure in CIF format:
```
data_AcLa5Pr2
_cell_length_a 9.132
_cell_length_b 9.132
_cell_length_c 14.523
_cell_angle_alpha 90.00
_cell_angle_beta 90.00
_cell_angle_gamma 90.00
_space_group_name_H-M_alt 'I 4/m c m'
_space_group_IT_number 140
_space_group_name_Hall '-I 4 2c'
loop_
_atom_site_label
_atom_site_type_symbol
_atom_site_fract_x
_atom_site_fract_y
_atom_site_fract_z
Ac1 Ac 0.000 0.000 0.250
La1 La 0.000 0.000 0.000
La2 La 0.150 0.350 0.162
Pr1 Pr 0.147 0.353 0.500
```

## Properties
- DFT formation energy: 0.093 eV per atom



[3]
Material: La2Pd2Rh
Method: DFT, PBE-GGA
State: optimized geometry

The structure in CIF format:
```
data_La2Pd2Rh
_cell_length_a 3.889
_cell_length_b 3.998
_cell_length_c 14.854
_cell_angle_alpha 90.00
_cell_angle_beta 90.00
_cell_angle_gamma 90.00
_space_group_name_H-M_alt 'A m m 2'
_space_group_IT_number 38
loop_
_space_group_symop_operation_xyz
'x,y,z'
'-x,-y,z'
'-x,y,z'
'x,-y,z'
'x,y+1/2,z+1/2'
'-x,-y+1/2,z+1/2'
'-x,y+1/2,z+1/2'
'x,-y+1/2,z+1/2'
loop_
_atom_site_label
_atom_site_type_symbol
_atom_site_fract_x
_atom_site_fract_y
_atom_site_fract_z
La1 La 0.000 0.000 0.000
La2 La 0.000 0.000 0.249
Pd1 Pd 0.500 0.000 0.637
Pd2 Pd 0.500 0.000 0.825
Rh1 Rh 0.500 0.000 0.452
```

## Properties
- DFT formation energy: -0.756 eV per atom
- Excess energy over the best structure of this formula in the dataset: 0 meV/atom



[4]
Material: Tm4B6O15
Method: DFT, PBE-GGA
State: optimized geometry

The structure in CIF format:
```
data_Tm4B6O15
_cell_length_a 13.5222
_cell_length_b 13.5222
_cell_length_c 6.8482
_cell_angle_alpha 90.00
_cell_angle_beta 90.00
_cell_angle_gamma 120.00
_space_group_name_H-M_alt 'R 3'
_space_group_IT_number 146
_space_group_name_Hall 'R 3'
loop_
_atom_site_label
_atom_site_type_symbol
_atom_site_fract_x
_atom_site_fract_y
_atom_site_fract_z
Tm1 Tm 0.0000 0.0000 0.0000
Tm2 Tm 0.0458 0.2598 0.0699
B1 B 0.1774 0.1238 0.3268
B2 B 0.1854 0.4726 0.3253
O1 O 0.0420 0.8918 0.2125
O2 O 0.0746 0.3891 0.2879
O3 O 0.1444 0.0193 0.8413
O4 O 0.1604 0.1046 0.5283
O5 O 0.1820 0.4020 0.9065
```

## Properties
- Formation energy from raw total energies: -2900.5 meV per atom
- Excess energy over the best structure of this formula in the dataset: 66 meV/atom



- Number 1 is which compound?
  Ac2TiCuS6